# Sn3HgBr, PBEsol geometry, DFT SCAN
data_Sn3HgBr
_chemical_formula_sum 'Sn3 Hg1 Br1'
_cell_length_a 5.489
_cell_length_b 5.489
_cell_length_c 5.489
_cell_angle_alpha 90.00
_cell_angle_beta 90.00
_cell_angle_gamma 90.00
_space_group_name_H-M_alt 'P m -3 m'
_space_group_IT_number 221
_space_group_name_Hall '-P 4 2 3'
loop_
_atom_site_label
_atom_site_type_symbol
_atom_site_fract_x
_atom_site_fract_y
_atom_site_fract_z
_atom_site_occupancy
Sn1 Sn 0.000 0.000 0.500 1
Hg1 Hg 0.500 0.500 0.500 1
Br1 Br 0.000 0.000 0.000 1
# * V: 165 Å³ per cell
# * spin magnetization: 0.00 μB per cell
# * N(E_F): 3.302 states/eV/cell
# * uncorrected formation energy: 0.757 eV/atom
# * final energy: -1.408 hartree per atom


# SrHg3Br, PBEsol geometry, DFT SCAN
data_SrHg3Br
_chemical_formula_sum 'Sr1 Hg3 Br1'
_cell_length_a 5.736
_cell_length_b 5.736
_cell_length_c 5.736
_cell_angle_alpha 90.00
_cell_angle_beta 90.00
_cell_angle_gamma 90.00
_space_group_name_H-M_alt 'P m -3 m'
_space_group_IT_number 221
_space_group_name_Hall '-P 4 2 3'
loop_
_atom_site_label
_atom_site_type_symbol
_atom_site_fract_x
_atom_site_fract_y
_atom_site_fract_z
_atom_site_occupancy
Sr1 Sr 0.000 0.000 0.000 1
Hg1 Hg 0.000 0.500 0.500 1
Br1 Br 0.500 0.500 0.500 1
# * V: 189 Å³ per cell
# * spin magnetization: 0.00 μB per cell
# * N(E_F): 4.131 states/eV/cell
# * uncorrected formation energy: 0.052 eV/atom
# * final energy: -1.808 hartree per atom


# SrHgBr2, PBEsol geometry, DFT SCAN
data_SrHgBr2
_chemical_formula_sum 'Sr1 Hg1 Br2'
_cell_length_a 5.130
_cell_length_b 5.130
_cell_length_c 4.255
_cell_angle_alpha 90.00
_cell_angle_beta 90.00
_cell_angle_gamma 90.00
_space_group_name_H-M_alt 'P 4/m m m'
_space_group_IT_number 123
_space_group_name_Hall '-P 4 2'
loop_
_atom_site_label
_atom_site_type_symbol
_atom_site_fract_x
_atom_site_fract_y
_atom_site_fract_z
_atom_site_occupancy
Sr1 Sr 0.000 0.000 0.000 1
Hg1 Hg 0.500 0.500 0.000 1
Br1 Br 0.000 0.500 0.500 1
# * V: 112 Å³ per cell
# * spin magnetization: 0.00 μB per cell
# * N(E_F): 0.000 states/eV/cell
# * uncorrected formation energy: -1.486 eV/atom
# * final energy: -1.243 hartree per atom


# SrHg2Br, PBEsol geometry, DFT SCAN
data_SrHg2Br
_chemical_formula_sum 'Sr1 Hg2 Br1'
_cell_length_a 4.343
_cell_length_b 4.403
_cell_length_c 5.787
_cell_angle_alpha 90.00
_cell_angle_beta 90.00
_cell_angle_gamma 90.00
_space_group_name_H-M_alt 'P m m m'
_space_group_IT_number 47
loop_
_space_group_symop_operation_xyz
'x,y,z'
'-x,-y,-z'
'-x,-y,z'
'x,y,-z'
'x,-y,-z'
'-x,y,z'
'-x,y,-z'
'x,-y,z'
loop_
_atom_site_label
_atom_site_type_symbol
_atom_site_fract_x
_atom_site_fract_y
_atom_site_fract_z
_atom_site_occupancy
Sr1 Sr 0.000 0.000 0.000 1
Hg1 Hg 0.000 0.500 0.500 1
Hg2 Hg 0.500 0.000 0.500 1
Br1 Br 0.500 0.500 0.000 1
# * V: 111 Å³ per cell
# * spin magnetization: 0.00 μB per cell
# * N(E_F): 1.398 states/eV/cell
# * uncorrected formation energy: -0.942 eV/atom
# * final energy: -1.671 hartree per atom


# SrHgBr2, PBEsol geometry, DFT SCAN
data_SrHgBr2
_chemical_formula_sum 'Sr2 Hg2 Br4'
_cell_length_a 7.786
_cell_length_b 4.490
_cell_length_c 9.191
_cell_angle_alpha 90.00
_cell_angle_beta 106.10
_cell_angle_gamma 90.00
_space_group_name_H-M_alt 'C 1 2/m 1'
_space_group_IT_number 12
loop_
_space_group_symop_operation_xyz
'x,y,z'
'-x,-y,-z'
'-x,y,-z'
'x,-y,z'
'x+1/2,y+1/2,z'
'-x+1/2,-y+1/2,-z'
'-x+1/2,y+1/2,-z'
'x+1/2,-y+1/2,z'
loop_
_atom_site_label
_atom_site_type_symbol
_atom_site_fract_x
_atom_site_fract_y
_atom_site_fract_z
_atom_site_occupancy
Sr1 Sr 0.000 0.000 0.000 1
Hg1 Hg 0.000 0.500 0.500 1
Br1 Br 0.225 0.500 0.177 1
# * V: 309 Å³ per cell
# * spin magnetization: 0.00 μB per cell
# * N(E_F): 0.000 states/eV/cell
# * uncorrected formation energy: -1.679 eV/atom
# * final energy: -1.250 hartree per atom


# TaHg2Br, PBEsol geometry, DFT SCAN
data_TaHg2Br
_chemical_formula_sum 'Ta1 Hg2 Br1'
_cell_length_a 3.113
_cell_length_b 5.499
_cell_length_c 5.048
_cell_angle_alpha 90.00
_cell_angle_beta 96.21
_cell_angle_gamma 90.00
_space_group_name_H-M_alt 'P 1 2/m 1'
_space_group_IT_number 10
loop_
_space_group_symop_operation_xyz
'x,y,z'
'-x,-y,-z'
'-x,y,-z'
'x,-y,z'
loop_
_atom_site_label
_atom_site_type_symbol
_atom_site_fract_x
_atom_site_fract_y
_atom_site_fract_z
_atom_site_occupancy
Ta1 Ta 0.000 0.000 0.000 1
Hg1 Hg 0.306 0.500 0.237 1
Br1 Br 0.000 0.000 0.500 1
# * V: 86 Å³ per cell
# * spin magnetization: 0.00 μB per cell
# * N(E_F): 1.973 states/eV/cell
# * uncorrected formation energy: 0.535 eV/atom
# * final energy: -2.023 hartree per atom


# TaHg2Br, PBEsol geometry, DFT SCAN
data_TaHg2Br
_chemical_formula_sum 'Ta4 Hg8 Br4'
_cell_length_a 6.834
_cell_length_b 6.834
_cell_length_c 6.834
_cell_angle_alpha 90.00
_cell_angle_beta 90.00
_cell_angle_gamma 90.00
_space_group_name_H-M_alt 'F -4 3 m'
_space_group_IT_number 216
_space_group_name_Hall 'F -4 2 3'
loop_
_atom_site_label
_atom_site_type_symbol
_atom_site_fract_x
_atom_site_fract_y
_atom_site_fract_z
_atom_site_occupancy
Ta1 Ta 0.000 0.000 0.000 1
Hg1 Hg 0.000 0.000 0.500 1
Hg2 Hg 0.250 0.250 0.250 1
Br1 Br 0.250 0.250 0.750 1
# * V: 319 Å³ per cell
# * spin magnetization: 0.00 μB per cell
# * N(E_F): 5.623 states/eV/cell
# * uncorrected formation energy: 0.851 eV/atom
# * final energy: -2.012 hartree per atom


# Ta2HgBr, PBEsol geometry, DFT SCAN
data_Ta2HgBr
_chemical_formula_sum 'Ta2 Hg1 Br1'
_cell_length_a 4.083
_cell_length_b 4.083
_cell_length_c 4.641
_cell_angle_alpha 90.00
_cell_angle_beta 90.00
_cell_angle_gamma 90.00
_space_group_name_H-M_alt 'P 4/m m m'
_space_group_IT_number 123
_space_group_name_Hall '-P 4 2'
loop_
_atom_site_label
_atom_site_type_symbol
_atom_site_fract_x
_atom_site_fract_y
_atom_site_fract_z
_atom_site_occupancy
Ta1 Ta 0.000 0.500 0.000 1
Hg1 Hg 0.000 0.000 0.500 1
Br1 Br 0.500 0.500 0.500 1
# * V: 77 Å³ per cell
# * spin magnetization: 0.00 μB per cell
# * N(E_F): 3.578 states/eV/cell
# * uncorrected formation energy: 1.033 eV/atom
# * final energy: -1.991 hartree per atom


# TaHgBr, PBEsol geometry, DFT SCAN
data_TaHgBr
_chemical_formula_sum 'Ta4 Hg4 Br4'
_cell_length_a 3.087
_cell_length_b 5.627
_cell_length_c 15.276
_cell_angle_alpha 90.00
_cell_angle_beta 90.00
_cell_angle_gamma 90.00
_space_group_name_H-M_alt 'F m m 2'
_space_group_IT_number 42
_space_group_name_Hall 'F 2 -2'
loop_
_atom_site_label
_atom_site_type_symbol
_atom_site_fract_x
_atom_site_fract_y
_atom_site_fract_z
_atom_site_occupancy
Ta1 Ta 0.000 0.000 0.000 1
Hg1 Hg 0.000 0.000 0.343 1
Br1 Br 0.000 0.000 0.636 1
# * V: 265 Å³ per cell
# * spin magnetization: 0.00 μB per cell
# * N(E_F): 5.292 states/eV/cell
# * uncorrected formation energy: 0.298 eV/atom
# * final energy: -1.878 hartree per atom


# TcHgBr2, PBEsol geometry, DFT SCAN
data_TcHgBr2
_chemical_formula_sum 'Tc3 Hg3 Br6'
_cell_length_a 3.4300
_cell_length_b 3.4300
_cell_length_c 25.2689
_cell_angle_alpha 90.00
_cell_angle_beta 90.00
_cell_angle_gamma 120.00
_space_group_name_H-M_alt 'R 3 m'
_space_group_IT_number 160
_space_group_name_Hall 'R 3 -2"'
loop_
_atom_site_label
_atom_site_type_symbol
_atom_site_fract_x
_atom_site_fract_y
_atom_site_fract_z
_atom_site_occupancy
Tc1 Tc 0.0000 0.0000 0.0000 1
Hg1 Hg 0.0000 0.0000 0.2523 1
Br1 Br 0.0000 0.0000 0.5048 1
Br2 Br 0.0000 0.0000 0.7236 1
# * V: 257 Å³ per cell
# * spin magnetization: 3.03 μB per cell
# * N(E_F): 5.984 states/eV/cell
# * uncorrected formation energy: 0.130 eV/atom
# * final energy: -1.301 hartree per atom


# TcHg2Br, PBEsol geometry, DFT SCAN
data_TcHg2Br
_chemical_formula_sum 'Tc1 Hg2 Br1'
_cell_length_a 3.027
_cell_length_b 3.027
_cell_length_c 9.000
_cell_angle_alpha 90.00
_cell_angle_beta 90.00
_cell_angle_gamma 90.00
_space_group_name_H-M_alt 'P 4 m m'
_space_group_IT_number 99
loop_
_space_group_symop_operation_xyz
'x,y,z'
'-y,x,z'
'-x,-y,z'
'y,-x,z'
'-x,y,z'
'y,x,z'
'x,-y,z'
'-y,-x,z'
loop_
_atom_site_label
_atom_site_type_symbol
_atom_site_fract_x
_atom_site_fract_y
_atom_site_fract_z
_atom_site_occupancy
Tc1 Tc 0.000 0.000 0.000 1
Hg1 Hg 0.000 0.000 0.487 1
Hg2 Hg 0.500 0.500 0.770 1
Br1 Br 0.500 0.500 0.148 1
# * V: 82 Å³ per cell
# * spin magnetization: 0.00 μB per cell
# * N(E_F): 1.887 states/eV/cell
# * uncorrected formation energy: 0.473 eV/atom
# * final energy: -1.736 hartree per atom


# Tc3HgBr, PBEsol geometry, DFT SCAN
data_Tc3HgBr
_chemical_formula_sum 'Tc3 Hg1 Br1'
_cell_length_a 4.505
_cell_length_b 4.505
_cell_length_c 4.505
_cell_angle_alpha 90.00
_cell_angle_beta 90.00
_cell_angle_gamma 90.00
_space_group_name_H-M_alt 'P m -3 m'
_space_group_IT_number 221
_space_group_name_Hall '-P 4 2 3'
loop_
_atom_site_label
_atom_site_type_symbol
_atom_site_fract_x
_atom_site_fract_y
_atom_site_fract_z
_atom_site_occupancy
Tc1 Tc 0.000 0.000 0.500 1
Hg1 Hg 0.500 0.500 0.500 1
Br1 Br 0.000 0.000 0.000 1
# * V: 91 Å³ per cell
# * spin magnetization: 2.50 μB per cell
# * N(E_F): 2.831 states/eV/cell
# * uncorrected formation energy: 1.624 eV/atom
# * final energy: -1.357 hartree per atom